No. 1
Below is a relaxed Pu2Pa2Mo crystal, with properties calculated at the PBE level.

Cell lengths 5.4810, 3.2914, 12.5544 Å; angles 90.00, 95.59, 90.00 degrees
Fractional positions:
1 Pu 0.1004 0.0000 0.3862
2 Pu 0.3996 0.5000 0.6138
3 Pu 0.6004 0.5000 0.3862
4 Pu 0.8996 0.0000 0.6138
5 Pa 0.0415 0.5000 0.1822
6 Pa 0.4585 0.0000 0.8178
7 Pa 0.5415 0.0000 0.1822
8 Pa 0.9585 0.5000 0.8178
9 Mo 0.0000 0.0000 0.0000
10 Mo 0.5000 0.5000 0.0000

Calculated values
As for the crystal system: monoclinic. The formation enthalpy at 0 K is 0.1661 eV per atom. For the calculated volume, the calculation gives 22.5 Å³ per atom. The symmetry is C2/m.

=====

No. 2
Below is a relaxed AcAl2Hg crystal, with properties calculated at the PBE level.

Cell lengths 4.7186, 4.7186, 4.6913 Å; angles 90.00, 90.00, 90.00 degrees
Fractional positions:
1 Ac 0.0000 0.0000 0.0000
2 Al 0.0000 0.5000 0.5000
3 Al 0.5000 0.0000 0.5000
4 Hg 0.5000 0.5000 0.0000

Calculated values
As for the crystal system: tetragonal. The formation enthalpy at 0 K is -0.1227 eV per atom. For the calculated volume, the calculation gives 26.1 Å³ per atom. The symmetry is P4/mmm.

=====

No. 3
Below is a relaxed Cr2TeW crystal, with properties calculated at the PBE level.

Cell lengths 3.0914, 3.0914, 6.4097 Å; angles 90.00, 90.00, 90.00 degrees
Fractional positions:
1 Cr 0.0000 0.0000 0.0000
2 Cr 0.5000 0.5000 0.1951
3 Te 0.0000 0.0000 0.4633
4 W 0.5000 0.5000 0.7591

Calculated values
As for the crystal system: tetragonal. For the calculated volume, the calculation gives 15.3 Å³ per atom. The symmetry is P4mm. As for the energy: -33.188 eV for the cell shown.

=====

no.,spin magnetization (μB/f.u.)
1,10.3
2,0.0
3,0.1